(1)
First-principles (PBE) data for a geometry-optimized Ba2NbGe2N6 structure, as listed in Alexandria via LeMat-Bulk.

Cell lengths 5.9439, 5.9439, 6.7674 Å; angles 63.95, 63.95, 60.00 degrees
With the nearest neighbours (Å) after each atom.
Fractional positions:
N (0.2356, 0.7556, 0.7733)  1 Ge 1.78
N (0.7644, 0.2444, 0.2267)  1 Ge 1.78
N (0.2444, 0.7644, 0.2267)  1 Ge 1.78
N (0.2356, 0.2356, 0.7733)  1 Ge 1.78
N (0.7644, 0.7644, 0.2267)  1 Ge 1.78
N (0.7556, 0.2356, 0.7733)  1 Ge 1.78
Ge (0.5919, 0.5919, 0.2242)  3 N 1.78
Ge (0.4081, 0.4081, 0.7758)  3 N 1.78
Ba (0.2134, 0.2134, 0.3597)  9 N 2.92-3.07
Ba (0.7866, 0.7866, 0.6403)  9 N 2.92-3.07
Nb (0.0000, 0.0000, 0.0000)  6 N 2.11

## Properties
- Total DFT energy (no corrections): -6.92 eV/atom
- Total magnetization: 0.000 μB per formula unit
- D(E_F): 0.56 states/eV per atom
- SG: R-3m, No. 166
- ΔE_f (raw): -276 meV/atom


(2)
First-principles (PBE) data for a geometry-optimized BaNd2GeN4 structure, as listed in Alexandria via LeMat-Bulk.

Cell lengths 3.5788, 6.5713, 12.2268 Å; angles 90.00, 90.00, 105.80 degrees
With the nearest neighbours (Å) after each atom.
Fractional positions:
N (0.7391, 0.4783, 0.6219)  1 Ge 1.84
N (0.0000, 0.0000, 0.5000)  4 Nd 2.49
N (0.4039, 0.8078, 0.7500)  2 Ge 2.11
N (0.7391, 0.4783, 0.8781)  1 Ge 1.84
N (0.5961, 0.1922, 0.2500)  2 Ge 2.11
N (0.0000, 0.0000, 0.0000)  4 Nd 2.49
N (0.2609, 0.5217, 0.1219)  1 Ge 1.84
N (0.2609, 0.5217, 0.3781)  1 Ge 1.84
Ba (0.9113, 0.8227, 0.2500)  8 N 2.94-3.26
Ba (0.0887, 0.1773, 0.7500)  8 N 2.94-3.26
Nd (0.3691, 0.7383, 0.9597)  6 N 2.41-2.63
Nd (0.3691, 0.7383, 0.5403)  6 N 2.41-2.63
Nd (0.6309, 0.2617, 0.0403)  6 N 2.41-2.63
Nd (0.6309, 0.2617, 0.4597)  6 N 2.41-2.63
Ge (0.8160, 0.6320, 0.7500)  2 N 1.84
Ge (0.1840, 0.3680, 0.2500)  2 N 1.84

## Properties
- Total DFT energy (no corrections): -7.04 eV/atom
- Total magnetization: 0.000 μB per formula unit
- SG: Cmcm, No. 63
- ΔE_f (raw): -871 meV/atom


(3)
First-principles (PBE) data for a geometry-optimized Ba2Ni2Ge2N structure, as listed in Alexandria via LeMat-Bulk.

Cell lengths 4.1093, 6.6110, 6.5335 Å; angles 70.30, 71.67, 71.89 degrees
With the nearest neighbours (Å) after each atom.
Fractional positions:
N (0.0000, 0.0000, 0.0000)  2 Ni 1.77
Ni (0.8330, 0.2442, 0.0898)  1 N 1.77
Ni (0.1670, 0.7558, 0.9102)  1 N 1.77
Ba (0.5561, 0.1994, 0.6885)  2 N 2.87
Ba (0.4439, 0.8006, 0.3115)  2 N 2.87
Ge (0.2092, 0.3988, 0.1828)  3 Ni 2.41-2.42
Ge (0.7908, 0.6012, 0.8172)  3 Ni 2.41-2.42

## Properties
- Total DFT energy (no corrections): -5.20 eV/atom
- Total magnetization: 0.000 μB per formula unit
- D(E_F): 0.46 states/eV per atom
- SG: C2/m, No. 12
- ΔE_f (raw): -486 meV/atom